No. 1
Compound: Mg2InMo
Source: Alexandria via LeMat-Bulk
Functional: PBE
Structure: optimized geometry

```
Mg2InMo
1.0
-4.018 -1.659 -3.667
1.566 -2.772 -4.712
0.019 0.052 5.686
Mo In Mg
1 1 2
Direct
0.500 0.500 0.000
0.259 0.759 0.500
0.739 0.239 0.500
0.003 0.003 0.000
```

Results
Energy of formation (eV per atom): 0.288
E (hartree per atom): -0.1434
Mass density (Mg/m³): 5.61

---

No. 2
Compound: Mg2InMo
Source: Alexandria via LeMat-Bulk
Functional: PBE
Structure: optimized geometry

```
Mg2InMo
1.0
-1.745 -2.334 -0.027
2.306 -1.712 -0.494
1.205 -1.008 9.123
Mg Mo In
2 1 1
Direct
0.000 0.000 0.021
0.000 0.000 0.479
0.500 0.500 0.250
0.500 0.500 0.750
```

Results
Energy of formation (eV per atom): 0.201
E (hartree per atom): -0.1466
Mass density (Mg/m³): 5.48